1) Computed, not measured: a relaxed structure of Ce4Pb2N at the PBE level of DFT.

a b c (Å): 4.8552 4.8552 16.5622
angles (deg): 90.00 90.00 90.00
With the nearest neighbours (Å) after each atom.
Space group I4/mmm (No. 139)
Asymmetric unit:
Ce 0.0000 0.0000 0.1569 (multiplicity 4)  1 N 2.60
Ce 0.0000 0.5000 0.0000 (multiplicity 4)  2 N 2.43
Pb 0.0000 0.0000 0.3567 (multiplicity 4)  9 Ce 3.31-3.44
N 0.0000 0.0000 0.0000 (multiplicity 2)  6 Ce 2.43-2.60

Properties
* calculated volume: 27.9 Å³/atom
* density of states at the Fermi level: 18.90 states/eV/f.u.
* crystal system: tetragonal
* total moment: 3.6 μB per formula unit

=====

2) Computed, not measured: a relaxed structure of Ce4Pb2N at the PBE level of DFT.

a b c (Å): 6.4896 6.6748 9.5533
angles (deg): 90.00 108.02 90.00
With the nearest neighbours (Å) after each atom.
Space group P2_1/m (No. 11)
Asymmetric unit:
Ce 0.1972 0.2500 0.0310 (multiplicity 2)  1 N 2.33
Ce 0.2554 0.7500 0.3443 (multiplicity 2)  1 N 2.27
Ce 0.2607 0.5234 0.7063 (multiplicity 4)  1 N 2.28
Pb 0.2494 0.2500 0.3949 (multiplicity 2)  8 Ce 3.37-3.49
Pb 0.3263 0.7500 0.0324 (multiplicity 2)  7 Ce 3.15-3.44
N 0.1059 0.2500 0.7756 (multiplicity 2)  4 Ce 2.27-2.33

Properties
* calculated volume: 28.1 Å³/atom
* density of states at the Fermi level: 19.35 states/eV/f.u.
* crystal system: monoclinic
* total moment: 4.8 μB per formula unit

=====

Verdict on stability: 2) comes out at the bottom.

=====

1) Computed, not measured: a relaxed structure of CePdN at the PBE level of DFT.

a b c (Å): 3.9484 3.9484 14.2740
angles (deg): 90.00 90.00 90.00
With the nearest neighbours (Å) after each atom.
Space group I4/mmm (No. 139)
Asymmetric unit:
Ce 0.0000 0.0000 0.1703 (multiplicity 4)  4 N 2.28
Pd 0.0000 0.5000 0.0000 (multiplicity 4)  4 Pd 2.79
N 0.0000 0.5000 0.2500 (multiplicity 4)  4 Ce 2.28

Properties
* calculated volume: 18.5 Å³/atom
* density of states at the Fermi level: 0.90 states/eV/f.u.
* crystal system: tetragonal
* total moment: 0.0 μB per formula unit

=====

2) Computed, not measured: a relaxed structure of CePdN at the PBE level of DFT.

a b c (Å): 3.4102 3.3745 9.1031
angles (deg): 90.00 90.00 90.00
With the nearest neighbours (Å) after each atom.
Space group Amm2 (No. 38)
Asymmetric unit:
Ce 0.0000 0.0000 0.0000 (multiplicity 2)  4 N 2.41
Pd 0.5000 0.0000 0.7239 (multiplicity 2)  1 N 2.25
N 0.5000 0.0000 0.4772 (multiplicity 2)  1 Pd 2.25, 4 Ce 2.41

Properties
* calculated volume: 17.5 Å³/atom
* density of states at the Fermi level: 2.08 states/eV/f.u.
* crystal system: orthorhombic
* total moment: 0.1 μB per formula unit

=====

Verdict on stability: 2) comes out at the bottom.

=====

1) Computed, not measured: a relaxed structure of CePdN at the PBE level of DFT.

a b c (Å): 4.0777 4.0777 6.7324
angles (deg): 90.00 90.00 90.00
With the nearest neighbours (Å) after each atom.
Space group I4mm (No. 107)
Asymmetric unit:
Ce 0.0000 0.0000 0.0000 (multiplicity 2)  1 N 2.04
Pd 0.0000 0.0000 0.3912 (multiplicity 2)  1 N 2.06
N 0.0000 0.0000 0.6971 (multiplicity 2)  1 Ce 2.04, 1 Pd 2.06

Properties
* calculated volume: 18.7 Å³/atom
* density of states at the Fermi level: 4.47 states/eV/f.u.
* crystal system: tetragonal
* total moment: 0.5 μB per formula unit

=====

2) Computed, not measured: a relaxed structure of CePdN at the PBE level of DFT.

a b c (Å): 3.6633 3.6633 4.5241
angles (deg): 90.00 90.00 120.00
With the nearest neighbours (Å) after each atom.
Space group P3m1 (No. 156)
Asymmetric unit:
Ce 0.0000 0.0000 0.0000 (multiplicity 1)  3 N 2.28
Pd 0.3333 0.6667 0.4774 (multiplicity 1)  3 N 2.61
N 0.6667 0.3333 0.8140 (multiplicity 1)  3 Ce 2.28

Properties
* calculated volume: 17.5 Å³/atom
* density of states at the Fermi level: 2.74 states/eV/f.u.
* crystal system: trigonal
* total moment: 0.0 μB per formula unit

=====

Verdict on stability: 1) comes out at the bottom.

=====

1) Computed, not measured: a relaxed structure of Ce2PmN at the PBE level of DFT.

a b c (Å): 3.1376 3.1376 9.0227
angles (deg): 90.00 90.00 90.00
With the nearest neighbours (Å) after each atom.
Space group P4/mmm (No. 123)
Asymmetric unit:
Ce 0.0000 0.0000 0.1571 (multiplicity 2)  4 N 2.63, 1 Ce 2.83
Pm 0.5000 0.5000 0.5000 (multiplicity 1)  4 Pm 3.14
N 0.5000 0.5000 0.0000 (multiplicity 1)  8 Ce 2.63

Properties
* calculated volume: 22.2 Å³/atom
* density of states at the Fermi level: 7.75 states/eV/f.u.
* crystal system: tetragonal
* total moment: 0.0 μB per formula unit

=====

2) Computed, not measured: a relaxed structure of Ce2PmN at the PBE level of DFT.

a b c (Å): 3.5211 3.5211 27.7791
angles (deg): 90.00 90.00 120.00
With the nearest neighbours (Å) after each atom.
Space group R-3m (No. 166, hexagonal axes)
Asymmetric unit:
Ce 0.0000 0.0000 0.2172 (multiplicity 6)  3 N 2.47
Pm 0.0000 0.0000 0.0000 (multiplicity 3)  6 Pm 3.52, 6 Ce 3.81
N 0.0000 0.0000 0.5000 (multiplicity 3)  6 Ce 2.47

Properties
* calculated volume: 24.9 Å³/atom
* density of states at the Fermi level: 9.50 states/eV/f.u.
* crystal system: trigonal
* total moment: 0.1 μB per formula unit

=====

Verdict on stability: 1) comes out at the bottom.

=====

1) Computed, not measured: a relaxed structure of CePm3N4 at the PBE level of DFT.

a b c (Å): 5.0922 5.0922 5.0922
angles (deg): 90.00 90.00 90.00
With the nearest neighbours (Å) after each atom.
Space group Pm-3m (No. 221)
Asymmetric unit:
Ce 0.0000 0.0000 0.0000 (multiplicity 1)  6 N 2.55
Pm 0.0000 0.5000 0.5000 (multiplicity 3)  6 N 2.55
N 0.0000 0.0000 0.5000 (multiplicity 3)  2 Ce 2.55, 4 Pm 2.55
N 0.5000 0.5000 0.5000 (multiplicity 1)  6 Pm 2.55

Properties
* calculated volume: 16.5 Å³/atom
* density of states at the Fermi level: 5.06 states/eV/f.u.
* crystal system: cubic
* total moment: 0.4 μB per formula unit

=====

2) Computed, not measured: a relaxed structure of CePm3N4 at the PBE level of DFT.

a b c (Å): 7.1967 10.1520 3.6023
angles (deg): 90.00 90.00 90.00
With the nearest neighbours (Å) after each atom.
Space group Cmmm (No. 65)
Asymmetric unit:
Ce 0.0000 0.0000 0.0000 (multiplicity 2)  6 N 2.47-2.50
Pm 0.0000 0.5000 0.0000 (multiplicity 2)  6 N 2.59-2.60
Pm 0.2500 0.2500 0.5000 (multiplicity 4)  6 N 2.54-2.55
N 0.0000 0.2437 0.0000 (multiplicity 4)  1 Ce 2.47, 5 Pm 2.55-2.60
N 0.2413 0.0000 0.5000 (multiplicity 4)  2 Ce 2.50, 4 Pm 2.54-2.59

Properties
* calculated volume: 16.4 Å³/atom
* density of states at the Fermi level: 3.03 states/eV/f.u.
* crystal system: orthorhombic
* total moment: 0.0 μB per formula unit

=====

Verdict on stability: 1) comes out at the bottom.